The following is a DFT calculation (PBE) of a geometry-optimized YHo2TmO6 structure.

## Properties
N(E_F)	0.00	states/eV/f.u.
E	-8.547	eV/atom

```
data_YHo2TmO6
_chemical_formula_sum 'Y3 Ho6 Tm3 O18'
_cell_length_a 5.7714
_cell_length_b 5.7714
_cell_length_c 15.1115
_cell_angle_alpha 90.00
_cell_angle_beta 90.00
_cell_angle_gamma 120.00
_space_group_name_H-M_alt 'R 3'
_space_group_IT_number 146
_space_group_name_Hall 'R 3'
loop_
_atom_site_label
_atom_site_fract_x
_atom_site_fract_y
_atom_site_fract_z
_atom_site_occupancy
Y1 0.0000 0.0000 0.0000 1
Ho1 0.0000 0.0000 0.2166 1
Ho2 0.0000 0.0000 0.7178 1
Tm1 0.0000 0.0000 0.5023 1
O1 0.0039 0.2976 0.1094 1
O2 0.0438 0.6685 0.2750 1
```